Record 1
DFT (GGA-PBEsol) results for a geometry-optimized Mn2PO5 structure.

a b c (Å): 4.9973 6.3513 6.8444
angles (deg): 110.07 102.32 103.67
Sites, in units of the cell vectors:
Mn: 0.8381 0.7356 0.3827
Mn: 0.6375 0.0556 0.7419
Mn: 0.3625 0.9444 0.2581
Mn: 0.1619 0.2644 0.6173
P: 0.8275 0.6166 0.8155
P: 0.1725 0.3834 0.1845
O: 0.9252 0.4493 0.2633
O: 0.7690 0.0439 0.4608
O: 0.9454 0.7848 0.0623
O: 0.5841 0.3873 0.7829
O: 0.6915 0.7351 0.6762
O: 0.3085 0.2649 0.3238
O: 0.4159 0.6127 0.2171
O: 0.0546 0.2152 0.9377
O: 0.2310 0.9561 0.5392
O: 0.0748 0.5507 0.7367

Summary:
Its space group is No. 2. Its density of states at the Fermi level is 0.31 states/eV per cell. For the total energy, the calculation gives -8.250 eV per atom. The energy relative to the lowest polymorph listed for this composition is 41 meV per atom.

=====

Record 2
DFT (GGA-PBEsol) results for a geometry-optimized MnP2PbO structure.

a b c (Å): 4.0696 5.1681 5.1681
angles (deg): 90.00 90.00 90.00
Sites, in units of the cell vectors:
Pb: 0.0000 0.0000 0.0000
P: 0.0000 0.0000 0.5000
P: 0.0000 0.5000 0.0000
Mn: 0.5000 0.5000 0.5000
O: 0.5000 0.0000 0.0000

Summary:
Its space group is No. 123. Its density of states at the Fermi level is 4.39 states/eV per cell. For the total energy, the calculation gives -5.077 eV per atom.

=====

Record 3
DFT (GGA-PBEsol) results for a geometry-optimized RbMnPO4 structure.

a b c (Å): 5.4351 8.9069 9.1251
angles (deg): 90.72 90.00 90.00
Sites, in units of the cell vectors:
Rb: 0.8738 0.5100 0.2053
Rb: 0.3738 0.4900 0.7947
Rb: 0.4121 0.9913 0.6929
Rb: 0.9121 0.0087 0.3071
Mn: 0.4166 0.8247 0.0883
Mn: 0.3583 0.3356 0.4306
Mn: 0.9166 0.1753 0.9117
Mn: 0.8583 0.6644 0.5694
P: 0.3965 0.7051 0.4235
P: 0.8965 0.2949 0.5765
P: 0.4138 0.1988 0.1000
P: 0.9138 0.8012 0.9000
O: 0.1908 0.7648 0.9238
O: 0.6908 0.2352 0.0762
O: 0.8047 0.6889 0.7864
O: 0.3047 0.3111 0.2136
O: 0.6723 0.2317 0.4921
O: 0.1723 0.7683 0.5079
O: 0.6240 0.8060 0.4542
O: 0.1240 0.1940 0.5458
O: 0.3852 0.0371 0.1582
O: 0.8852 0.9629 0.8418
O: 0.8369 0.3082 0.7420
O: 0.3369 0.6918 0.2580
O: 0.7754 0.7840 0.0479
O: 0.2754 0.2160 0.9521
O: 0.9754 0.4520 0.5178
O: 0.4754 0.5480 0.4822

Summary:
Its space group is No. 4. Its density of states at the Fermi level is 0.00 states/eV per cell. For the total energy, the calculation gives -7.425 eV per atom.

=====

Question: Number 3 is which compound?
Answer: RbMnPO4

=====

Question: Number 1 is which compound?
Answer: Mn2PO5